No. 1
A plane-wave DFT calculation with GGA-PBE was carried out for crystalline TaAlCu at its relaxed geometry. Values from VASP.

```
&SYSTEM
  ibrav = 0, nat = 3, ntyp = 3
/
ATOMIC_SPECIES
Al 26.98 Al.upf
Cu 63.55 Cu.upf
Ta 180.95 Ta.upf
ATOMIC_POSITIONS crystal
Al 0.000 0.000 0.016
Cu 0.667 0.333 0.323
Ta 0.333 0.667 0.662
CELL_PARAMETERS angstrom
2.835 0.000 0.000
-1.418 2.455 0.000
0.000 0.000 6.743
```

Computed properties:
Magnetization (μB per cell): 0.000
Space-group type: P3m1, No. 156
Total energy (eV/atom): -6.52
N(E_F) (states/eV per cell): 2.9



No. 2
A plane-wave DFT calculation with GGA-PBE was carried out for crystalline HoPuTlBi at its relaxed geometry. Values from VASP.

```
&SYSTEM
  ibrav = 0, nat = 4, ntyp = 4
/
ATOMIC_SPECIES
Pu 244.00 Pu.upf
Bi 208.98 Bi.upf
Ho 164.93 Ho.upf
Tl 204.38 Tl.upf
ATOMIC_POSITIONS crystal
Pu 0.750 0.750 0.750
Bi 0.500 0.500 0.500
Ho 0.250 0.250 0.250
Tl 0.000 0.000 0.000
CELL_PARAMETERS angstrom
-0.495 0.523 5.385
2.141 -3.747 3.301
4.350 1.209 3.023
```

Computed properties:
Magnetization (μB per cell): 6.408
Space-group type: F-43m, No. 216
Total energy (eV/atom): -6.55
N(E_F) (states/eV per cell): 11.7



No. 3
A plane-wave DFT calculation with GGA-PBE was carried out for crystalline Nd2Sm4In at its relaxed geometry. Values from VASP.

```
&SYSTEM
  ibrav = 0, nat = 14, ntyp = 3
/
ATOMIC_SPECIES
Nd 144.24 Nd.upf
Sm 150.36 Sm.upf
In 114.82 In.upf
ATOMIC_POSITIONS crystal
Nd 0.958 0.500 0.255
Sm 0.250 0.250 0.103
Sm 0.153 0.000 0.569
In 0.500 0.500 0.000
Sm 0.750 0.750 0.897
Nd 0.542 0.000 0.255
Nd 0.458 0.000 0.745
Sm 0.250 0.750 0.103
Nd 0.042 0.500 0.745
In 0.000 0.000 0.000
Sm 0.653 0.500 0.431
Sm 0.847 0.000 0.431
Sm 0.750 0.250 0.897
Sm 0.347 0.500 0.569
CELL_PARAMETERS angstrom
-9.123 5.382 -2.720
2.037 0.284 -6.271
-2.919 -5.557 -1.203
```

Computed properties:
Magnetization (μB per cell): 0.002
Polymorph energy (0 for the lowest one) (meV/atom): 18
Space-group type: Pmna, No. 53
N(E_F) (states/eV per cell): 19.4



No. 4
A plane-wave DFT calculation with GGA-PBE was carried out for crystalline CaCu2W at its relaxed geometry. Values from VASP.

```
&SYSTEM
  ibrav = 0, nat = 4, ntyp = 3
/
ATOMIC_SPECIES
Cu 63.55 Cu.upf
W 183.84 W.upf
Ca 40.08 Ca.upf
ATOMIC_POSITIONS crystal
Cu 0.000 0.000 0.000
Cu 0.250 0.750 0.500
W 0.500 0.500 0.000
Ca 0.750 0.250 0.500
CELL_PARAMETERS angstrom
-4.602 -2.036 -1.671
-0.172 -2.271 -4.788
3.040 -0.232 4.338
```

Computed properties:
Magnetization (μB per cell): 0.432
Polymorph energy (0 for the lowest one) (meV/atom): 394
Space-group type: I-4m2, No. 119
N(E_F) (states/eV per cell): 4.0